A relaxed structure of Tl4In3Pb2. Source: Alexandria via LeMat-Bulk, functional GGA-PBE.

a b c (Å): 5.243 6.161 9.615
angles (deg): 77.61 74.18 64.82
Positions (direct):
Tl1 0.670 0.550 0.110
Tl2 0.007 0.320 0.667
Tl3 0.993 0.680 0.333
Tl4 0.330 0.450 0.890
In1 0.339 0.771 0.552
In2 0.000 0.000 0.000
In3 0.661 0.229 0.448
Pb1 0.329 0.109 0.232
Pb2 0.671 0.891 0.768

Calculated formation energy   16.0 meV/atom
DFT total energy   -2.773 eV per atom
Space group   C2/m